Record 1
The following is a PBE calculation of an optimized crystal structure of Y3HfMo, from Alexandria.

SG = Pm-3m (221)
Energy relative to the lowest polymorph listed for this composition = 0.000 eV/atom
Mass density = 6.0 g/cm³

Unit cell a=5.308 b=5.308 c=5.308 alpha=90.00 beta=90.00 gamma=90.00
Atoms (fractional coordinates):
Y: 0.000 0.000 0.500
Y: 0.000 0.500 0.000
Y: 0.500 0.000 0.000
Hf: 0.500 0.500 0.500
Mo: 0.000 0.000 0.000

***

Record 2
The following is a PBE calculation of an optimized crystal structure of Y3HfMo, from Alexandria.

SG = Pm-3m (221)
Energy relative to the lowest polymorph listed for this composition = 0.807 eV/atom
Mass density = 5.8 g/cm³

Unit cell a=5.363 b=5.363 c=5.363 alpha=90.00 beta=90.00 gamma=90.00
Atoms (fractional coordinates):
Y: 0.000 0.000 0.500
Y: 0.000 0.500 0.000
Y: 0.500 0.000 0.000
Hf: 0.000 0.000 0.000
Mo: 0.500 0.500 0.500

***

Record 3
The following is a PBE calculation of an optimized crystal structure of YHfMo3, from Alexandria.

SG = Pm-3m (221)
Energy relative to the lowest polymorph listed for this composition = 0.000 eV/atom
Mass density = 8.0 g/cm³

Unit cell a=4.862 b=4.862 c=4.862 alpha=90.00 beta=90.00 gamma=90.00
Atoms (fractional coordinates):
Y: 0.000 0.000 0.000
Hf: 0.500 0.500 0.500
Mo: 0.000 0.500 0.500
Mo: 0.500 0.000 0.500
Mo: 0.500 0.500 0.000

***

Record 4
The following is a PBE calculation of an optimized crystal structure of Hf3ZnMo, from Alexandria.

SG = Pm-3m (221)
Energy relative to the lowest polymorph listed for this composition = 0.207 eV/atom
Mass density = 10.3 g/cm³

Unit cell a=4.826 b=4.826 c=4.826 alpha=90.00 beta=90.00 gamma=90.00
Atoms (fractional coordinates):
Hf: 0.000 0.000 0.500
Hf: 0.000 0.500 0.000
Hf: 0.500 0.000 0.000
Zn: 0.000 0.000 0.000
Mo: 0.500 0.500 0.500

***

| no. | final energy (eV/atom) |
| --- | --- |
| 1 | -7.27 |
| 2 | -6.46 |
| 3 | -8.37 |
| 4 | -7.32 |